1.
The following is a GGA-PBEsol calculation of crystalline NaNbN2 at its relaxed geometry, from Alexandria via LeMat-Bulk.

Its formation energy (no corrections) is -0.785 eV/atom. The calculation puts the magnetic moment at 0.000 Bohr magnetons per cell. The value obtained for the calculated volume is 15.669 Å³ per atom.

a b c (Å): 5.328 5.805 5.328
angles (deg): 62.68 90.00 117.32
Positions (direct):
N1 0.706 0.750 0.375
Na1 0.500 0.000 0.500
Na2 0.250 0.500 0.250
Nb1 0.000 0.000 0.000
Nb2 0.750 0.500 0.750
N2 0.375 0.250 0.044
N3 0.044 0.750 0.875
N4 0.875 0.250 0.706


2.
The following is a GGA-PBEsol calculation of crystalline NaNbN2 at its relaxed geometry, from Alexandria via LeMat-Bulk.

Its formation energy (no corrections) is -0.777 eV/atom. The calculation puts the magnetic moment at 0.000 Bohr magnetons per cell. The value obtained for the calculated volume is 15.407 Å³ per atom.

a b c (Å): 5.593 11.223 15.708
angles (deg): 90.00 90.00 90.00
Positions (direct):
N1 0.416 0.584 0.601
Na1 0.783 0.501 0.558
N2 0.641 0.688 0.333
N3 0.486 0.675 0.006
N4 0.859 0.188 0.333
N5 0.916 0.584 0.899
Nb1 0.248 0.273 0.066
Nb2 0.790 0.020 0.310
Na2 0.259 0.280 0.312
N6 0.451 0.518 0.796
N7 0.451 0.982 0.296
Nb3 0.248 0.227 0.566
N8 0.049 0.018 0.796
N9 0.916 0.916 0.399
Nb4 0.748 0.273 0.434
Na3 0.717 0.499 0.058
N10 0.584 0.416 0.399
N11 0.514 0.175 0.494
N12 0.951 0.982 0.204
Nb5 0.752 0.773 0.434
N13 0.951 0.518 0.704
Nb6 0.290 0.480 0.690
Nb7 0.210 0.520 0.190
N14 0.486 0.825 0.506
N15 0.014 0.325 0.506
N16 0.986 0.825 0.994
Nb8 0.710 0.520 0.310
N17 0.549 0.482 0.204
N18 0.359 0.312 0.667
Na4 0.283 0.501 0.942
N19 0.141 0.812 0.667
Na5 0.759 0.220 0.688
N20 0.141 0.688 0.167
Na6 0.241 0.720 0.812
Na7 0.741 0.780 0.188
Na8 0.783 0.999 0.058
Na9 0.259 0.220 0.812
Nb9 0.210 0.980 0.690
Na10 0.759 0.280 0.188
N21 0.416 0.916 0.101
N22 0.084 0.416 0.101
Nb10 0.252 0.773 0.066
N23 0.359 0.188 0.167
N24 0.084 0.084 0.601
Nb11 0.752 0.727 0.934
Nb12 0.790 0.480 0.810
Na11 0.283 0.999 0.442
Nb13 0.252 0.727 0.566
Nb14 0.748 0.227 0.934
Nb15 0.710 0.980 0.810
N25 0.049 0.482 0.296
Nb16 0.290 0.020 0.190
Na12 0.717 0.001 0.558
N26 0.986 0.675 0.494
N27 0.549 0.018 0.704
Na13 0.217 0.001 0.942
N28 0.641 0.812 0.833
N29 0.014 0.175 0.006
Na14 0.741 0.720 0.688
N30 0.514 0.325 0.994
Na15 0.217 0.499 0.442
N31 0.859 0.312 0.833
N32 0.584 0.084 0.899
Na16 0.241 0.780 0.312


3.
The following is a GGA-PBEsol calculation of crystalline NaNb2NO at its relaxed geometry, from Alexandria via LeMat-Bulk.

Its formation energy (no corrections) is 0.473 eV/atom. The calculation puts the magnetic moment at 0.386 Bohr magnetons per cell. The value obtained for the calculated volume is 15.731 Å³ per atom.

a b c (Å): 4.005 4.005 4.904
angles (deg): 90.00 90.00 90.00
Last column: magnetic moment on the atom in μB.
Positions (direct):
Nb1 0.500 0.000 0.000  -0.10
Na1 0.500 0.500 0.500  -0.01
Nb2 0.000 0.500 0.000  -0.10
O1 0.000 0.000 0.000  0.08
N1 0.000 0.000 0.500  0.42